Density functional theory data (GGA-PBE) for crystalline ScTc2CN at its relaxed geometry.

Cell lengths 3.882, 4.537, 3.882 Å; angles 90.00, 90.00, 90.00 degrees
Positions (direct):
N (0.000, 0.000, 0.000)
Tc (0.500, 0.000, 0.000)
Sc (0.500, 0.500, 0.500)
C (0.000, 0.500, 0.000)
Tc (0.000, 0.000, 0.500)

Properties
Formation energy without anion corrections: 72.4 kJ per mole of atoms
Electronic total energy: -8.172 eV per atom

Density functional theory data (GGA-PBE) for crystalline ScTe2CN at its relaxed geometry.

Cell lengths 5.644, 5.644, 3.883 Å; angles 90.00, 90.00, 90.00 degrees
Each line ends with the local moment (μB).
Positions (direct):
Sc (0.000, 0.000, 0.000)  0.00
Te (0.500, 0.000, 0.000)  -0.21
N (0.000, 0.000, 0.500)  -0.03
C (0.500, 0.500, 0.500)  0.65
Te (0.000, 0.500, 0.000)  -0.21

Properties
Offset from the most stable computed form: 788.4 meV per atom
Formation energy without anion corrections: 144.4 kJ per mole of atoms
Electronic total energy: -4.536 eV per atom

Density functional theory data (GGA-PBE) for crystalline ScTeCN2 at its relaxed geometry.

Cell lengths 3.910, 3.910, 6.477 Å; angles 90.00, 90.00, 90.00 degrees
Each line ends with the local moment (μB).
Positions (direct):
C (0.500, 0.500, 0.500)  0.34
Sc (0.000, 0.000, 0.000)  -0.01
Te (0.000, 0.000, 0.500)  -0.04
N (0.500, 0.000, 0.000)  0.24
N (0.000, 0.500, 0.000)  0.24

Properties
Offset from the most stable computed form: 115.8 meV per atom
Formation energy without anion corrections: 175.9 kJ per mole of atoms
Electronic total energy: -5.247 eV per atom

Density functional theory data (GGA-PBE) for crystalline ScTe2CN at its relaxed geometry.

Cell lengths 6.125, 6.125, 2.673 Å; angles 90.00, 90.00, 90.00 degrees
Positions (direct):
Sc (0.500, 0.500, 0.500)
N (0.000, 0.000, 0.500)
C (0.000, 0.000, 0.000)
Te (0.000, 0.500, 0.000)
Te (0.500, 0.000, 0.000)

Properties
Offset from the most stable computed form: 0.0 meV per atom
Formation energy without anion corrections: 68.3 kJ per mole of atoms
Electronic total energy: -5.325 eV per atom

Density functional theory data (GGA-PBE) for crystalline ScTeCN2 at its relaxed geometry.

Cell lengths 3.971, 3.971, 4.267 Å; angles 90.00, 90.00, 90.00 degrees
Each line ends with the local moment (μB).
Positions (direct):
C (0.000, 0.000, 0.000)  0.00
N (0.500, 0.000, 0.000)  0.08
N (0.000, 0.500, 0.000)  0.08
Sc (0.500, 0.500, 0.500)  0.00
Te (0.000, 0.000, 0.500)  0.01

Properties
Offset from the most stable computed form: 0.0 meV per atom
Formation energy without anion corrections: 164.7 kJ per mole of atoms
Electronic total energy: -5.363 eV per atom

Density functional theory data (GGA-PBE) for crystalline Tm2Sc2C2N at its relaxed geometry.

Cell lengths 3.480, 6.743, 6.727 Å; angles 56.09, 75.00, 58.93 degrees
Each line ends with the local moment (μB).
Positions (direct):
Sc (0.697, 0.443, 0.720)  0.12
Tm (0.337, 0.036, 0.255)  0.14
N (0.000, 0.000, 0.000)  -0.01
Tm (0.663, 0.964, 0.745)  0.14
Sc (0.303, 0.557, 0.280)  0.12
C (0.984, 0.288, 0.456)  0.00
C (0.016, 0.712, 0.544)  0.00

Properties
Formation energy without anion corrections: -71.7 kJ per mole of atoms
Electronic total energy: -7.654 eV per atom

Density functional theory data (GGA-PBE) for crystalline ScW2CN at its relaxed geometry.

Cell lengths 3.941, 4.745, 3.941 Å; angles 90.00, 90.00, 90.00 degrees
Positions (direct):
Sc (0.500, 0.500, 0.500)
W (0.000, 0.000, 0.500)
N (0.000, 0.000, 0.000)
W (0.500, 0.000, 0.000)
C (0.000, 0.500, 0.000)

Properties
Formation energy without anion corrections: 81.9 kJ per mole of atoms
Electronic total energy: -9.108 eV per atom

Density functional theory data (GGA-PBE) for crystalline Y2Sc2C2N at its relaxed geometry.

Cell lengths 3.551, 6.813, 6.879 Å; angles 54.99, 75.05, 58.62 degrees
Each line ends with the local moment (μB).
Positions (direct):
Sc (0.296, 0.562, 0.285)  0.11
N (0.000, 0.000, 0.000)  -0.01
Sc (0.704, 0.438, 0.715)  0.11
Y (0.671, 0.954, 0.751)  0.10
Y (0.329, 0.046, 0.249)  0.10
C (0.021, 0.706, 0.547)  0.00
C (0.979, 0.294, 0.453)  0.00

Properties
Formation energy without anion corrections: -69.0 kJ per mole of atoms
Electronic total energy: -8.196 eV per atom

Density functional theory data (GGA-PBE) for crystalline YScC2N at its relaxed geometry.

Cell lengths 4.347, 4.292, 4.347 Å; angles 90.00, 90.00, 90.00 degrees
Each line ends with the local moment (μB).
Positions (direct):
Y (0.000, 0.000, 0.000)  0.02
N (0.000, 0.500, 0.000)  0.12
C (0.500, 0.000, 0.000)  0.01
Sc (0.500, 0.500, 0.500)  0.00
C (0.000, 0.000, 0.500)  0.02

Properties
Formation energy without anion corrections: 145.0 kJ per mole of atoms
Electronic total energy: -6.411 eV per atom

Density functional theory data (GGA-PBE) for crystalline ZrScCN at its relaxed geometry.

Cell lengths 3.284, 3.284, 5.674 Å; angles 106.80, 90.00, 120.00 degrees
Positions (direct):
Sc (0.845, 0.509, 0.370)
N (0.594, 0.008, 0.616)
C (0.093, 0.005, 0.112)
Zr (0.345, 0.510, 0.871)

Properties
Formation energy without anion corrections: -121.0 kJ per mole of atoms
Electronic total energy: -9.361 eV per atom

Density functional theory data (GGA-PBE) for crystalline SiCSeN2 at its relaxed geometry.

Cell lengths 3.318, 3.318, 7.275 Å; angles 90.00, 90.00, 90.00 degrees
Each line ends with the local moment (μB).
Positions (direct):
N (0.000, 0.500, 0.000)  0.01
Se (0.000, 0.000, 0.500)  -0.05
C (0.500, 0.500, 0.500)  0.29
N (0.500, 0.000, 0.000)  0.01
Si (0.000, 0.000, 0.000)  0.00

Properties
Offset from the most stable computed form: 0.0 meV per atom
Formation energy without anion corrections: 131.8 kJ per mole of atoms
Electronic total energy: -5.591 eV per atom

Density functional theory data (GGA-PBE) for crystalline SiCSeN2 at its relaxed geometry.

Cell lengths 3.575, 3.575, 4.135 Å; angles 90.00, 90.00, 90.00 degrees
Positions (direct):
C (0.000, 0.000, 0.000)
Se (0.000, 0.000, 0.500)
N (0.000, 0.500, 0.000)
Si (0.500, 0.500, 0.500)
N (0.500, 0.000, 0.000)

Properties
Offset from the most stable computed form: 830.6 meV per atom
Formation energy without anion corrections: 211.9 kJ per mole of atoms
Electronic total energy: -4.760 eV per atom

Number 11 is which compound?
SiCSeN2

Number 7 is which compound?
ScW2CN

What is the formation energy without anion corrections in the fourth record?
68.3 kJ per mole of atoms

Number 6 is which compound?
Tm2Sc2C2N